The following is a DFT calculation (PBE-GGA) of an optimized crystal structure of Si23H.

Results
**Magnetization**: 0.042 μB per atom
**Volume**: 1067.6 Å³ per cell
**DOS(E_F)**: 0.020 states/eV/atom
**Space group**: Pm-3n (223)
**E_tot**: -5.1919 eV/atom

Cell: 10.220 10.220 10.220 Å, 90.00 90.00 90.00°
Fractional positions:
Si 0.000 0.117 0.308
Si 0.000 0.117 0.692
Si 0.000 0.250 0.500
Si 0.000 0.750 0.500
Si 0.000 0.883 0.308
Si 0.000 0.883 0.692
Si 0.117 0.308 0.000
Si 0.117 0.692 0.000
Si 0.184 0.184 0.184
Si 0.184 0.184 0.816
Si 0.184 0.816 0.184
Si 0.184 0.816 0.816
Si 0.192 0.383 0.500
Si 0.192 0.617 0.500
Si 0.250 0.500 0.000
Si 0.308 0.000 0.117
Si 0.308 0.000 0.883
Si 0.316 0.316 0.316
Si 0.316 0.316 0.684
Si 0.316 0.684 0.316
Si 0.316 0.684 0.684
Si 0.383 0.500 0.192
Si 0.383 0.500 0.808
Si 0.500 0.000 0.250
Si 0.500 0.000 0.750
Si 0.500 0.192 0.383
Si 0.500 0.192 0.617
Si 0.500 0.808 0.383
Si 0.500 0.808 0.617
Si 0.617 0.500 0.192
Si 0.617 0.500 0.808
Si 0.684 0.316 0.316
Si 0.684 0.316 0.684
Si 0.684 0.684 0.316
Si 0.684 0.684 0.684
Si 0.692 0.000 0.117
Si 0.692 0.000 0.883
Si 0.750 0.500 0.000
Si 0.808 0.383 0.500
Si 0.808 0.617 0.500
Si 0.816 0.184 0.184
Si 0.816 0.184 0.816
Si 0.816 0.816 0.184
Si 0.816 0.816 0.816
Si 0.883 0.308 0.000
Si 0.883 0.692 0.000
H 0.000 0.000 0.000
H 0.500 0.500 0.500